First-principles (GGA-PBE) data for a relaxed Pm3Dy2PaP6 crystal, as listed in the Alexandria database.

It has space group C2/m (No. 12), with a = 7.017 Å, b = 12.155 Å, c = 7.040 Å, α = 90.00°, β = 109.36° and γ = 90.00°. The inequivalent atoms are Pm at (0.000, 0.000, 0.000), Pm at (0.000, 0.332, 0.000), Dy at (0.000, 0.166, 0.500), Pa at (0.000, 0.500, 0.500), P at (0.243, 0.336, 0.739) and P at (0.247, 0.500, 0.262).

The calculated volume comes out at 283.25 Å³/f.u. Its calculated density is 6.900 Mg/m³. As for the total magnetization: 0.00 μB/f.u. The calculation puts the electronic total energy at -0.2577 Ha/atom. The formation energy from the elements is -1561.3 meV/atom.

***

First-principles (GGA-PBE) data for a relaxed Pu3As4Pd2 crystal, as listed in the Alexandria database.

It has space group C2/m (No. 12), with a = 12.450 Å, b = 4.163 Å, c = 8.583 Å, α = 90.00°, β = 121.87° and γ = 90.00°. The inequivalent atoms are Pu at (0.000, 0.000, 0.000), Pu at (0.136, 0.500, 0.714), As at (0.067, 0.000, 0.388), As at (0.180, 0.500, 0.082) and Pd at (0.179, 0.500, 0.373).

The calculated volume comes out at 188.90 Å³/f.u. Its calculated density is 10.940 Mg/m³. As for the total magnetization: 14.92 μB/f.u. As for the energy relative to the lowest polymorph listed for this composition: 0.13 eV/f.u. The calculation puts the electronic total energy at -0.3228 Ha/atom. The formation energy from the elements is -785.2 meV/atom.

***

First-principles (GGA-PBE) data for a relaxed Cd8Ag3Sn2 crystal, as listed in the Alexandria database.

It has space group R-3m (No. 166, hexagonal axes), with a = 5.7335 Å, b = 5.7335 Å, c = 32.3079 Å, α = 90.00°, β = 90.00° and γ = 120.00°. The inequivalent atoms are Cd at (0.0000, 0.0000, 0.2270), Cd at (0.0008, 0.5004, 0.7207), Ag at (0.0000, 0.0000, 0.3132), Ag at (0.0000, 0.0000, 0.5000) and Sn at (0.0000, 0.0000, 0.1393).

The calculated volume comes out at 306.59 Å³/f.u. Its calculated density is 7.909 Mg/m³. As for the total magnetization: 0.00 μB/f.u. The calculation puts the electronic total energy at -0.0628 Ha/atom. The formation energy from the elements is 127.1 meV/atom.

***

Question: Look up the electronic total energy of the second one.
Answer: -0.3228 Ha/atom